Material: Ca2BeMoO6
Method: DFT, GGA+U
State: relaxed

Properties
Final energy (eV per atom): -6.796

Lattice parameters (Å, degrees): 5.3434 5.3931 7.4679 90.00 90.00 90.00
With the nearest neighbours (Å) after each atom.
Positions (direct):
Ca  0.0054  0.9650  0.2513  8 O 2.38-2.62
Ca  0.5054  0.5350  0.7513  8 O 2.38-2.62
Ca  0.9946  0.0350  0.7487  8 O 2.38-2.62
Ca  0.4946  0.4650  0.2487  8 O 2.38-2.62
Be  0.5000  0.0000  0.0000  6 O 1.85-1.92
Be  0.0000  0.5000  0.5000  6 O 1.85-1.92
Mo  0.5000  0.0000  0.5000  6 O 1.95
Mo  0.0000  0.5000  0.0000  6 O 1.95
O  0.2869  0.7173  0.0329  1 Be 1.92, 1 Mo 1.95
O  0.7869  0.7827  0.5329  1 Be 1.92, 1 Mo 1.95
O  0.7131  0.2827  0.9671  1 Be 1.92, 1 Mo 1.95
O  0.2131  0.2173  0.4671  1 Be 1.92, 1 Mo 1.95
O  0.2831  0.7135  0.4667  1 Be 1.92, 1 Mo 1.95
O  0.7831  0.7865  0.9667  1 Be 1.92, 1 Mo 1.95
O  0.7169  0.2865  0.5333  1 Be 1.92, 1 Mo 1.95
O  0.2169  0.2135  0.0333  1 Be 1.92, 1 Mo 1.95
O  0.9371  0.5119  0.2566  1 Be 1.85, 1 Mo 1.95
O  0.4371  0.9881  0.7566  1 Be 1.85, 1 Mo 1.95
O  0.0629  0.4881  0.7434  1 Be 1.85, 1 Mo 1.95
O  0.5629  0.0119  0.2434  1 Be 1.85, 1 Mo 1.95